No. 1
The following is a DFT calculation (GGA-PBE) of TbGd2Ga after structural relaxation.

Summary:
- Formation enthalpy at 0 K: -2.5 kcal/mol of atoms
- Size of the total moment: 3.901 μB/atom
- E above lowest polymorph: 61.2 kJ/mol of formula units
- Raw total energy: -145.02 eV/cell

Unit cell a=7.568 b=7.568 c=7.568 alpha=90.00 beta=90.00 gamma=90.00
Space group Fm-3m (No. 225)
Unique sites:
Tb 0.000 0.000 0.000 [4 per cell]
Gd 0.250 0.250 0.250 [8 per cell]
Ga 0.000 0.000 0.500 [4 per cell]

No. 2
The following is a DFT calculation (GGA-PBE) of CaLuTh after structural relaxation.

Summary:
- Formation enthalpy at 0 K: 2.6 kcal/mol of atoms
- Size of the total moment: 0.001 μB/atom
- Raw total energy: -27.22 eV/cell

Unit cell a=3.566 b=3.566 c=15.981 alpha=90.00 beta=90.00 gamma=90.00
Space group I4mm (No. 107)
Unique sites:
Ca 0.000 0.000 0.000 [2 per cell]
Lu 0.000 0.000 0.676 [2 per cell]
Th 0.000 0.000 0.322 [2 per cell]

No. 3
The following is a DFT calculation (GGA-PBE) of LiAgO2 after structural relaxation.

Summary:
- Formation energy without anion corrections: -0.462 eV per atom
- Size of the total moment: 0.000 μB/atom
- Raw total energy: -66.11 eV/cell

Unit cell a=4.594 b=4.594 c=9.857 alpha=90.00 beta=90.00 gamma=90.00
Space group I-42d (No. 122)
Unique sites:
Li 0.000 0.000 0.000 [4 per cell]
Ag 0.000 0.000 0.500 [4 per cell]
O 0.228 0.250 0.125 [8 per cell]

No. 4
The following is a DFT calculation (GGA-PBE) of SrHfIr2 after structural relaxation.

Summary:
- Formation enthalpy at 0 K: 0.2 kcal/mol of atoms
- Size of the total moment: 0.000 μB/atom
- E above lowest polymorph: 222.6 kJ/mol of formula units
- Raw total energy: -117.26 eV/cell

Unit cell a=7.499 b=7.499 c=6.302 alpha=90.00 beta=90.00 gamma=90.00
Space group I-42d (No. 122)
Unique sites:
Sr 0.000 0.000 0.000 [4 per cell]
Hf 0.000 0.000 0.500 [4 per cell]
Ir 0.210 0.250 0.625 [8 per cell]

No. 5
The following is a DFT calculation (GGA-PBE) of Sc2CuSi after structural relaxation.

Summary:
- Formation energy without anion corrections: -0.198 eV per atom
- Size of the total moment: 0.000 μB/atom
- Raw total energy: -22.97 eV/cell

Unit cell a=3.756 b=3.756 c=5.505 alpha=90.00 beta=90.00 gamma=90.00
Space group P4mm (No. 99)
Unique sites:
Sc 0.000 0.000 0.000 [1 per cell]
Sc 0.500 0.500 0.379 [1 per cell]
Cu 0.500 0.500 0.859 [1 per cell]
Si 0.000 0.000 0.488 [1 per cell]

No. 6
The following is a DFT calculation (GGA-PBE) of LuScInAg after structural relaxation.

Summary:
- Formation enthalpy at 0 K: -8.6 kcal/mol of atoms
- Size of the total moment: 0.001 μB/atom
- Raw total energy: -71.73 eV/cell

Unit cell a=7.144 b=7.144 c=7.144 alpha=90.00 beta=90.00 gamma=90.00
Space group F-43m (No. 216)
Unique sites:
Lu 0.000 0.000 0.000 [4 per cell]
Sc 0.000 0.000 0.500 [4 per cell]
In 0.250 0.250 0.750 [4 per cell]
Ag 0.250 0.250 0.250 [4 per cell]

No. 7
The following is a DFT calculation (GGA-PBE) of LiTcO2F after structural relaxation.

Summary:
- Formation energy without anion corrections: -0.603 eV per atom
- Size of the total moment: 0.592 μB/atom
- Raw total energy: -27.08 eV/cell

Unit cell a=3.703 b=3.703 c=3.326 alpha=90.00 beta=90.00 gamma=90.00
Space group P4/mmm (No. 123)
Unique sites:
Li 0.000 0.000 0.000 [1 per cell]
Tc 0.500 0.500 0.500 [1 per cell]
O 0.000 0.500 0.000 [2 per cell]
F 0.000 0.000 0.500 [1 per cell]

No. 8
The following is a DFT calculation (GGA-PBE) of ThPaRu2 after structural relaxation.

Summary:
- Formation enthalpy at 0 K: -9.3 kcal/mol of atoms
- Size of the total moment: 0.000 μB/atom
- Raw total energy: -37.08 eV/cell

Unit cell a=3.422 b=3.422 c=7.263 alpha=90.00 beta=90.00 gamma=90.00
Space group P4/mmm (No. 123)
Unique sites:
Th 0.000 0.000 0.000 [1 per cell]
Pa 0.000 0.000 0.500 [1 per cell]
Ru 0.500 0.500 0.292 [2 per cell]

No. 9
The following is a DFT calculation (GGA-PBE) of ScIrCl2 after structural relaxation.

Summary:
- Formation energy without anion corrections: -0.784 eV per atom
- Size of the total moment: 0.000 μB/atom
- E above lowest polymorph: 55.5 kJ/mol of formula units
- Raw total energy: -22.02 eV/cell

Unit cell a=3.629 b=3.720 c=7.017 alpha=90.00 beta=94.34 gamma=90.00
Space group Pm (No. 6)
Unique sites:
Sc 0.000 0.000 0.000 [1 per cell]
Ir 0.492 0.500 0.899 [1 per cell]
Cl 0.270 0.000 0.658 [1 per cell]
Cl 0.733 0.500 0.222 [1 per cell]

No. 10
The following is a DFT calculation (GGA-PBE) of SiTe2Ir after structural relaxation.

Summary:
- Formation energy without anion corrections: -0.013 eV per atom
- Size of the total moment: 0.000 μB/atom
- Raw total energy: -20.62 eV/cell

Unit cell a=4.475 b=3.834 c=6.200 alpha=90.00 beta=97.32 gamma=90.00
Space group Pm (No. 6)
Unique sites:
Si 0.000 0.000 0.000 [1 per cell]
Te 0.147 0.500 0.712 [1 per cell]
Te 0.508 0.000 0.249 [1 per cell]
Ir 0.704 0.500 0.980 [1 per cell]

No. 11
The following is a DFT calculation (GGA-PBE) of CoNi2Br after structural relaxation.

Summary:
- Formation energy without anion corrections: 0.480 eV per atom
- Size of the total moment: 0.874 μB/atom
- E above lowest polymorph: 35.9 kJ/mol of formula units
- Raw total energy: -18.42 eV/cell

Unit cell a=3.114 b=3.114 c=5.837 alpha=90.00 beta=90.00 gamma=90.00
Space group P4/mmm (No. 123)
Unique sites:
Co 0.000 0.000 0.000 [1 per cell]
Ni 0.500 0.500 0.204 [2 per cell]
Br 0.000 0.000 0.500 [1 per cell]

No. 12
The following is a DFT calculation (GGA-PBE) of Pu2PaTe after structural relaxation.

Summary:
- Formation energy without anion corrections: -0.310 eV per atom
- Size of the total moment: 3.083 μB/atom
- E above lowest polymorph: 0.0 kJ/mol of formula units
- Raw total energy: -42.54 eV/cell

Unit cell a=3.922 b=3.922 c=6.590 alpha=90.00 beta=90.00 gamma=90.00
Space group P4/mmm (No. 123)
Unique sites:
Pu 0.000 0.000 0.247 [2 per cell]
Pa 0.500 0.500 0.500 [1 per cell]
Te 0.500 0.500 0.000 [1 per cell]

No. 13
The following is a DFT calculation (GGA-PBE) of FeCo2 after structural relaxation.

Summary:
- Formation enthalpy at 0 K: 6.8 kcal/mol of atoms
- Size of the total moment: 1.980 μB/atom
- Raw total energy: -87.15 eV/cell

Unit cell a=2.445 b=3.842 c=15.740 alpha=90.00 beta=90.00 gamma=90.00
Space group Imma (No. 74)
Unique sites:
Fe 0.000 0.250 0.119 [4 per cell]
Co 0.000 0.250 0.537 [4 per cell]
Co 0.000 0.250 0.686 [4 per cell]